Record 1
VASP calculation (SCAN) on a crystal of YTi2PN relaxed with PBEsol.

The structure belongs to space group P4/mmm (No. 123); the cell edges are 4.9705, 4.9705 and 4.8976 Å and the angles 90.00°, 90.00° and 90.00°. The inequivalent atoms are Y at (0.0000, 0.0000, 0.0000), Ti at (0.0000, 0.5000, 0.0000), P at (0.0000, 0.0000, 0.5000) and N at (0.5000, 0.5000, 0.5000).

The value obtained for the uncorrected formation energy is 2257 meV/atom.

***

Record 2
VASP calculation (SCAN) on a crystal of Al3GaN4 relaxed with PBEsol.

The structure belongs to space group P-43m (No. 215); the cell edges are 4.4062, 4.4062 and 4.4062 Å and the angles 90.00°, 90.00° and 90.00°. The inequivalent atoms are Al at (0.0000, 0.0000, 0.5000), Ga at (0.5000, 0.5000, 0.5000) and N at (0.2448, 0.2448, 0.7552).

The value obtained for the relative energy among the computed polymorphs is 15 meV per atom. The value obtained for the uncorrected formation energy is -1412 meV/atom.

***

Record 3
VASP calculation (SCAN) on a crystal of TlCdSeN2 relaxed with PBEsol.

The structure belongs to space group P4/mmm (No. 123); the cell edges are 4.3023, 4.3023 and 5.5942 Å and the angles 90.00°, 90.00° and 90.00°. The inequivalent atoms are Tl at (0.0000, 0.0000, 0.0000), Cd at (0.5000, 0.5000, 0.5000), Se at (0.5000, 0.5000, 0.0000) and N at (0.0000, 0.5000, 0.5000).

The value obtained for the uncorrected formation energy is 1300 meV/atom.

***

Record 4
VASP calculation (SCAN) on a crystal of K2NaMoBr6 relaxed with PBEsol.

The structure belongs to space group Fm-3m (No. 225); the cell edges are 10.7435, 10.7435 and 10.7435 Å and the angles 90.00°, 90.00° and 90.00°. The inequivalent atoms are K at (0.2500, 0.2500, 0.2500), Na at (0.0000, 0.0000, 0.0000), Mo at (0.0000, 0.0000, 0.5000) and Br at (0.0000, 0.0000, 0.2619).

The value obtained for the uncorrected formation energy is -1386 meV/atom.

***

Record 5
VASP calculation (SCAN) on a crystal of BaLa2Au relaxed with PBEsol.

The structure belongs to space group Cmmm (No. 65); the cell edges are 6.6273, 7.0192 and 5.2974 Å and the angles 90.00°, 90.00° and 90.00°. The inequivalent atoms are Ba at (0.0000, 0.0000, 0.0000), La at (0.2500, 0.2500, 0.5000) and Au at (0.0000, 0.5000, 0.0000).

The formation energy is -0.16 eV per atom.

***

Record 6
VASP calculation (SCAN) on a crystal of Sm4CdPd relaxed with PBEsol.

The structure belongs to space group F-43m (No. 216); the cell edges are 13.7151, 13.7151 and 13.7151 Å and the angles 90.00°, 90.00° and 90.00°. The inequivalent atoms are Sm at (0.0000, 0.0000, 0.1853), Sm at (0.0578, 0.2500, 0.7500), Sm at (0.1026, 0.1026, 0.3974), Cd at (0.1696, 0.1696, 0.1696) and Pd at (0.1058, 0.1058, 0.6058).

The formation energy is -0.51 eV per atom.

***

Record 7
VASP calculation (SCAN) on a crystal of Al5SiNi2 relaxed with PBEsol.

The structure belongs to space group I4/mmm (No. 139); the cell edges are 3.8442, 3.8442 and 14.8341 Å and the angles 90.00°, 90.00° and 90.00°. The inequivalent atoms are Al at (0.0000, 0.0000, 0.0000), Al at (0.0000, 0.5000, 0.1445), Si at (0.0000, 0.0000, 0.5000) and Ni at (0.0000, 0.0000, 0.2493).

The value obtained for the uncorrected formation energy is -292 meV/atom.

***

Record 8
VASP calculation (SCAN) on a crystal of YBN3 relaxed with PBEsol.

The structure belongs to space group Pm-3m (No. 221); the cell edges are 3.4947, 3.4947 and 3.4947 Å and the angles 90.00°, 90.00° and 90.00°. The inequivalent atoms are Y at (0.0000, 0.0000, 0.0000), B at (0.5000, 0.5000, 0.5000) and N at (0.0000, 0.5000, 0.5000).

The value obtained for the uncorrected formation energy is 108 meV/atom.

***

Record 9
VASP calculation (SCAN) on a crystal of Ca3AlCd relaxed with PBEsol.

The structure belongs to space group Pm-3m (No. 221); the cell edges are 5.7816, 5.7816 and 5.7816 Å and the angles 90.00°, 90.00° and 90.00°. The inequivalent atoms are Ca at (0.0000, 0.0000, 0.5000), Al at (0.0000, 0.0000, 0.0000) and Cd at (0.5000, 0.5000, 0.5000).

The formation energy is 0.16 eV per atom.

***

Record 10
VASP calculation (SCAN) on a crystal of TlMoPO6 relaxed with PBEsol.

The structure belongs to space group Fddd (No. 70, origin choice 2); the cell edges are 10.9259, 12.4998 and 15.6907 Å and the angles 90.00°, 90.00° and 90.00°. The inequivalent atoms are Tl at (0.0841, 0.3750, 0.3750), Mo at (0.1250, 0.3440, 0.6250), P at (0.1250, 0.1250, 0.4936), O at (0.0332, 0.0667, 0.4324), O at (0.0588, 0.0403, 0.7036) and O at (0.0726, 0.3196, 0.2002).

The value obtained for the uncorrected formation energy is -2100 meV/atom.

***

Number 1: electronic total energy -13.66 eV/atom, magnetic moment 0.43 μB/cell. Number 2: electronic total energy -11.01 eV/atom, magnetic moment 0.00 μB/cell. Number 3: electronic total energy -26.99 eV/atom, magnetic moment 4.20 μB/cell. Number 4: electronic total energy -18.64 eV/atom, magnetic moment 12.00 μB/cell. Number 5: electronic total energy -48.89 eV/atom, magnetic moment 0.00 μB/cell. Number 6: electronic total energy -40.67 eV/atom, magnetic moment 0.00 μB/cell. Number 7: electronic total energy -10.43 eV/atom, magnetic moment 0.00 μB/cell. Number 8: electronic total energy -12.52 eV/atom, magnetic moment 0.00 μB/cell. Number 9: electronic total energy -13.27 eV/atom, magnetic moment 0.00 μB/cell. Number 10: electronic total energy -19.33 eV/atom, magnetic moment 0.00 μB/cell.